The following is a PBE-GGA calculation of a geometry-optimized ScAl2H6 structure, from Alexandria via LeMat-Bulk.

Summary:
Total DFT energy (no corrections) in eV/atom: -3.478

Structure (CIF):
```
data_ScAl2H6
_cell_length_a 4.813
_cell_length_b 4.813
_cell_length_c 4.813
_cell_angle_alpha 60.00
_cell_angle_beta 60.00
_cell_angle_gamma 60.00
_symmetry_space_group_name_H-M 'P 1'
_symmetry_Int_Tables_number 1
loop_
_symmetry_equiv_pos_as_xyz
'x,y,z'
loop_
_atom_site_label
_atom_site_type_symbol
_atom_site_fract_x
_atom_site_fract_y
_atom_site_fract_z
H1 H 0.277 0.277 0.723
H2 H 0.723 0.277 0.723
H3 H 0.723 0.277 0.277
H4 H 0.723 0.723 0.277
Sc1 Sc 0.000 0.000 0.000
Al1 Al 0.250 0.250 0.250
Al2 Al 0.750 0.750 0.750
H5 H 0.277 0.723 0.277
H6 H 0.277 0.723 0.723
```